# ErMg PBE optimized geometry
# Space-group type = Amm2, No. 38
# Electronic total energy = -3.095 eV per atom
data_ErMg
_chemical_formula_sum 'Er5 Mg5'
_space_group_name_H-M_alt 'P 1'
_space_group_IT_number 1
_cell_length_a 5.0764
_cell_length_b 10.6897
_cell_length_c 10.6897
_cell_angle_alpha 152.47
_cell_angle_beta 90.00
_cell_angle_gamma 90.00
loop_
_space_group_symop_operation_xyz
'x,y,z'
loop_
_atom_site_label
_atom_site_type_symbol
_atom_site_fract_x
_atom_site_fract_y
_atom_site_fract_z
Er1 Er 0.0000 0.0000 0.0000
Er2 Er 0.0000 0.1954 0.8074
Er3 Er 0.0000 0.8074 0.1954
Er4 Er 0.5000 0.3097 0.6929
Er5 Er 0.5000 0.6929 0.3097
Mg1 Mg 0.0000 0.4075 0.5906
Mg2 Mg 0.0000 0.5906 0.4075
Mg3 Mg 0.5000 0.0945 0.9115
Mg4 Mg 0.5000 0.5037 0.5037
Mg5 Mg 0.5000 0.9115 0.0945


# ErMg PBE optimized geometry
# Space-group type = P6_3mc, No. 186
# Electronic total energy = -1.777 eV per atom
data_ErMg
_chemical_formula_sum 'Er2 Mg2'
_space_group_name_H-M_alt 'P 1'
_space_group_IT_number 1
_cell_length_a 4.9856
_cell_length_b 4.9856
_cell_length_c 8.1254
_cell_angle_alpha 90.00
_cell_angle_beta 90.00
_cell_angle_gamma 120.00
loop_
_space_group_symop_operation_xyz
'x,y,z'
loop_
_atom_site_label
_atom_site_type_symbol
_atom_site_fract_x
_atom_site_fract_y
_atom_site_fract_z
Er1 Er 0.3333 0.6667 0.0000
Er2 Er 0.6667 0.3333 0.5000
Mg1 Mg 0.3333 0.6667 0.3750
Mg2 Mg 0.6667 0.3333 0.8750


# ErMg PBE optimized geometry
# Space-group type = Amm2, No. 38
# Electronic total energy = -3.056 eV per atom
data_ErMg
_chemical_formula_sum 'Er6 Mg6'
_space_group_name_H-M_alt 'P 1'
_space_group_IT_number 1
_cell_length_a 5.4748
_cell_length_b 3.4376
_cell_length_c 17.1582
_cell_angle_alpha 90.00
_cell_angle_beta 90.00
_cell_angle_gamma 90.00
loop_
_space_group_symop_operation_xyz
'x,y,z'
loop_
_atom_site_label
_atom_site_type_symbol
_atom_site_fract_x
_atom_site_fract_y
_atom_site_fract_z
Er1 Er 0.0000 0.0000 0.0000
Er2 Er 0.0000 0.0000 0.3252
Er3 Er 0.0000 0.5000 0.5000
Er4 Er 0.0000 0.5000 0.8252
Er5 Er 0.5000 0.0000 0.1995
Er6 Er 0.5000 0.5000 0.6995
Mg1 Mg 0.0000 0.0000 0.6599
Mg2 Mg 0.0000 0.5000 0.1599
Mg3 Mg 0.5000 0.0000 0.5348
Mg4 Mg 0.5000 0.0000 0.8772
Mg5 Mg 0.5000 0.5000 0.0348
Mg6 Mg 0.5000 0.5000 0.3772


# ErMg PBE optimized geometry
# Space-group type = P-6m2, No. 187
# Electronic total energy = -2.981 eV per atom
data_ErMg
_chemical_formula_sum 'Er4 Mg4'
_space_group_name_H-M_alt 'P 1'
_space_group_IT_number 1
_cell_length_a 6.8104
_cell_length_b 6.8104
_cell_length_c 5.4660
_cell_angle_alpha 90.00
_cell_angle_beta 90.00
_cell_angle_gamma 120.00
loop_
_space_group_symop_operation_xyz
'x,y,z'
loop_
_atom_site_label
_atom_site_type_symbol
_atom_site_fract_x
_atom_site_fract_y
_atom_site_fract_z
Er1 Er 0.0000 0.0000 0.0000
Er2 Er 0.3315 0.1657 0.5000
Er3 Er 0.8343 0.1657 0.5000
Er4 Er 0.8343 0.6685 0.5000
Mg1 Mg 0.3333 0.6667 0.5000
Mg2 Mg 0.5030 0.0060 0.0000
Mg3 Mg 0.5030 0.4970 0.0000
Mg4 Mg 0.9940 0.4970 0.0000